1.
## K2Na2Pb (GGA-PBEsol)

Data for a relaxed K2Na2Pb crystal.

abc: 11.4601 11.4601 11.4601
angles: 157.85 157.85 31.53
Positions (direct):
K1 0.0907 0.0907 0.0000
K2 0.9093 0.9093 0.0000
Na1 0.2500 0.7500 0.5000
Na2 0.7500 0.2500 0.5000
Pb1 0.5000 0.5000 0.0000

Results
offset from the most stable computed form	0.55	eV/f.u.
size of the total moment	0.01	μB/f.u.
symmetry	No. 139

2.
## K2NaZrPb (GGA-PBEsol)

Data for a relaxed K2NaZrPb crystal.

abc: 6.4386 6.4386 5.7745
angles: 90.00 90.00 90.00
Positions (direct):
K1 0.0000 0.5000 0.0000
K2 0.5000 0.0000 0.0000
Na1 0.0000 0.0000 0.5000
Zr1 0.5000 0.5000 0.5000
Pb1 0.0000 0.0000 0.0000

Results
size of the total moment	2.75	μB/f.u.
symmetry	No. 123

3.
## KNa2Pd (GGA-PBEsol)

Data for a relaxed KNa2Pd crystal.

abc: 11.1617 11.1617 11.1617
angles: 155.64 155.64 34.72
Positions (direct):
K1 0.0000 0.0000 0.0000
K2 0.7500 0.2500 0.5000
Na1 0.1799 0.6250 0.0549
Na2 0.3750 0.4299 0.5549
Na3 0.5701 0.1250 0.9451
Na4 0.8750 0.8201 0.4451
Pd1 0.2500 0.7500 0.5000
Pd2 0.5000 0.5000 0.0000

Results
size of the total moment	0.00	μB/f.u.
symmetry	No. 122

4.
## KNa3Pd (GGA-PBEsol)

Data for a relaxed KNa3Pd crystal.

abc: 5.5842 5.5842 5.5842
angles: 90.00 90.00 90.00
Positions (direct):
K1 0.0000 0.0000 0.0000
Na1 0.0000 0.5000 0.5000
Na2 0.5000 0.0000 0.5000
Na3 0.5000 0.5000 0.0000
Pd1 0.5000 0.5000 0.5000

Results
size of the total moment	0.00	μB/f.u.
symmetry	No. 221

Number 1: ΔE_f 48 kJ/mol of formula units, energy -8.57 eV per formula unit. Number 2: ΔE_f 535 kJ/mol of formula units, energy -11.21 eV per formula unit. Number 3: ΔE_f 100 kJ/mol of formula units, energy -8.86 eV per formula unit. Number 4: ΔE_f 43 kJ/mol of formula units, energy -10.84 eV per formula unit.